1.
4
Lattice="0.000 3.245 3.245 3.245 0.000 3.245 3.245 3.245 0.000" Properties=species:S:1:pos:R:3 comment="NbCoBiMo PBE optimized geometry" relative_energy_mev_per_atom=0 sg="No. 216" pbc="T T T"
Nb 3.245 3.245 3.245
Mo 1.623 1.623 1.623
Co 4.868 4.868 4.868
Bi 0.000 0.000 0.000


2.
4
Lattice="0.000 3.219 3.219 3.219 0.000 3.219 3.219 3.219 0.000" Properties=species:S:1:pos:R:3 comment="CoBiMoPd PBE optimized geometry" relative_energy_mev_per_atom=0 sg="No. 216" pbc="T T T"
Co 4.829 4.829 4.829
Mo 1.610 1.610 1.610
Pd 3.219 3.219 3.219
Bi 0.000 0.000 0.000


3.
4
Lattice="0.000 3.235 3.235 3.235 0.000 3.235 3.235 3.235 0.000" Properties=species:S:1:pos:R:3 comment="CoBiMoPd PBE optimized geometry" relative_energy_mev_per_atom=58 sg="No. 216" pbc="T T T"
Mo 3.235 3.235 3.235
Pd 1.617 1.617 1.617
Co 4.852 4.852 4.852
Bi 0.000 0.000 0.000


4.
4
Lattice="0.000 3.209 3.209 3.209 0.000 3.209 3.209 3.209 0.000" Properties=species:S:1:pos:R:3 comment="CoReBiMo PBE optimized geometry" relative_energy_mev_per_atom=0 sg="No. 216" pbc="T T T"
Co 4.813 4.813 4.813
Bi 0.000 0.000 0.000
Mo 1.604 1.604 1.604
Re 3.209 3.209 3.209